[1]
A geometry-optimized DyPuN structure. Source: the Alexandria database, functional PBE.

## Properties
For the uncorrected formation energy, the calculation gives -836 meV/atom.

a = 6.107 Å, b = 3.435 Å, c = 3.435 Å
α = 120.00°, β = 90.00°, γ = 90.00°
Site moments in Bohr magnetons follow the coordinates.
Positions (direct):
N1 0.332 0.333 0.667  -0.09
Pu1 0.561 0.667 0.333  5.34
Dy1 0.107 0.000 0.000  0.27

[2]
A geometry-optimized CsB3P3 structure. Source: the Alexandria database, functional PBE.

a = 5.646 Å, b = 5.646 Å, c = 10.387 Å
α = 74.23°, β = 74.23°, γ = 60.00°
Positions (direct):
P1 0.561 0.894 0.317
P2 0.106 0.772 0.683
P3 0.894 0.228 0.317
P4 0.228 0.561 0.317
P5 0.772 0.439 0.683
P6 0.439 0.106 0.683
B1 0.104 0.438 0.689
B2 0.230 0.896 0.311
B3 0.562 0.230 0.311
B4 0.896 0.562 0.311
B5 0.770 0.104 0.689
B6 0.438 0.770 0.689
Cs1 0.667 0.667 0.000
Cs2 0.333 0.333 0.000

[3]
A geometry-optimized Pr3Er4Tl2 structure. Source: the Alexandria database, functional PBE.

a = 6.466 Å, b = 9.510 Å, c = 9.510 Å
α = 83.11°, β = 82.50°, γ = 82.50°
Positions (direct):
Er1 0.089 0.154 0.484
Er2 0.589 0.484 0.154
Er3 0.911 0.846 0.516
Er4 0.575 0.140 0.688
Er5 0.925 0.312 0.860
Er6 0.411 0.516 0.846
Er7 0.425 0.860 0.312
Er8 0.075 0.688 0.140
Tl1 0.066 0.372 0.199
Tl2 0.934 0.628 0.801
Tl3 0.434 0.801 0.628
Tl4 0.566 0.199 0.372
Pr1 0.750 0.531 0.469
Pr2 0.582 0.829 0.959
Pr3 0.250 0.469 0.531
Pr4 0.082 0.959 0.829
Pr5 0.918 0.041 0.171
Pr6 0.418 0.171 0.041

[4]
A geometry-optimized Sc2TlZn structure. Source: the Alexandria database, functional PBE.

a = 5.761 Å, b = 5.761 Å, c = 5.761 Å
α = 137.33°, β = 137.33°, γ = 61.93°
Positions (direct):
Zn1 0.750 0.250 0.500
Sc1 0.000 0.000 0.000
Sc2 0.250 0.750 0.500
Tl1 0.500 0.500 0.000

[5]
A geometry-optimized LaTbHoGa structure. Source: the Alexandria database, functional PBE.

a = 5.419 Å, b = 5.419 Å, c = 5.419 Å
α = 60.00°, β = 60.00°, γ = 60.00°
Site moments in Bohr magnetons follow the coordinates.
Positions (direct):
Ho1 0.750 0.750 0.750  0.29
Ga1 0.250 0.250 0.250  -0.01
Tb1 0.000 0.000 0.000  0.21
La1 0.500 0.500 0.500  0.14

[6]
A geometry-optimized Li2YGe2 structure. Source: the Alexandria database, functional PBE.

a = 7.574 Å, b = 7.574 Å, c = 3.457 Å
α = 90.00°, β = 90.00°, γ = 90.00°
Positions (direct):
Y1 0.000 0.000 0.000
Y2 0.500 0.500 0.000
Ge1 0.123 0.377 0.000
Ge2 0.877 0.623 0.000
Ge3 0.623 0.123 0.000
Ge4 0.377 0.877 0.000
Li1 0.669 0.831 0.500
Li2 0.169 0.669 0.500
Li3 0.331 0.169 0.500
Li4 0.831 0.331 0.500

So what do the calculations give for raw total energy? Going down the list: -9.9223 -5.3569 -4.2053 -4.2404 -4.3983 -4.2087 eV per atom.
So what do the calculations give for total magnetic moment? Going down the list: 6.01 0.00 0.00 0.00 0.89 0.00 μB per formula unit.